DFT (PBEsol) results for an optimized crystal structure of CrSn3C.

```
CrSn3C
1.0
-3.862 0.139 -3.066
1.575 -4.140 -2.171
-2.635 -2.679 3.196
Sn Cr C
3 1 1
Cartesian
-1.317 -1.339 1.598
0.788 -2.070 -1.085
-1.931 0.069 -1.533
0.000 0.000 0.000
-2.460 -3.340 -1.020
```

Values from the calculation:
The calculation puts the density of states at the Fermi level at 4.0 states/eV per cell. The space-group type is Pm-3m. For the magnetic moment, the calculation gives 3.6 μB/cell. The formation enthalpy at 0 K is 1.4543 eV/atom. For the raw total energy, the calculation gives -25.39 eV for the cell shown. The calculation puts the relative energy among the computed polymorphs at 372 meV/atom.


DFT (PBEsol) results for an optimized crystal structure of Cs2RbScBr6.

```
Cs2RbScBr6
1.0
8.191 0.000 0.000
4.095 7.093 0.000
4.095 2.364 6.688
Cs Br Rb Sc
2 6 1 1
Cartesian
12.286 7.093 5.016
4.095 2.364 1.672
8.191 2.140 1.513
10.433 6.024 1.513
8.191 7.318 5.175
5.948 3.434 5.175
10.433 3.434 5.175
5.948 6.024 1.513
8.191 4.729 3.344
0.000 0.000 0.000
```

Values from the calculation:
The calculation puts the density of states at the Fermi level at 0.0 states/eV per cell. The space-group type is Fm-3m. For the magnetic moment, the calculation gives 0.0 μB/cell. For the raw total energy, the calculation gives -38.37 eV for the cell shown.


DFT (PBEsol) results for an optimized crystal structure of LaCoP3.

```
LaCoP3
1.0
5.217 0.000 0.000
0.000 5.217 0.000
0.000 0.000 5.217
P Co La
3 1 1
Cartesian
2.608 0.000 0.000
0.000 0.000 2.608
0.000 2.608 0.000
2.608 2.608 2.608
0.000 0.000 0.000
```

Values from the calculation:
The calculation puts the density of states at the Fermi level at 7.3 states/eV per cell. The space-group type is Pm-3m. For the magnetic moment, the calculation gives 2.8 μB/cell. The formation enthalpy at 0 K is 1.6331 eV/atom. For the raw total energy, the calculation gives -22.29 eV for the cell shown.


DFT (PBEsol) results for an optimized crystal structure of CoIr3Br.

```
CoIr3Br
1.0
-1.613 3.767 1.907
-3.790 -2.191 1.123
1.861 -1.198 3.940
Br Co Ir
1 1 3
Cartesian
0.000 0.000 0.000
-1.771 0.189 3.485
-0.806 1.883 0.953
-1.895 -1.096 0.562
0.930 -0.599 1.970
```

Values from the calculation:
The calculation puts the density of states at the Fermi level at 7.7 states/eV per cell. The space-group type is Pm-3m. For the magnetic moment, the calculation gives 3.2 μB/cell. For the raw total energy, the calculation gives -27.74 eV for the cell shown.


DFT (PBEsol) results for an optimized crystal structure of K2ZrCuBi.

```
K2ZrCuBi
1.0
5.594 0.000 0.000
0.000 6.574 0.000
0.000 0.000 6.574
K Cu Bi Zr
2 1 1 1
Cartesian
0.000 0.000 3.287
0.000 3.287 0.000
2.797 3.287 3.287
0.000 0.000 0.000
2.797 0.000 0.000
```

Values from the calculation:
The calculation puts the density of states at the Fermi level at 4.1 states/eV per cell. The space-group type is P4/mmm. For the magnetic moment, the calculation gives 2.0 μB/cell. The formation enthalpy at 0 K is 0.8711 eV/atom. For the raw total energy, the calculation gives -15.62 eV for the cell shown.


DFT (PBEsol) results for an optimized crystal structure of SrLa2Os.

```
SrLa2Os
1.0
3.535 0.000 0.000
0.000 3.535 0.000
0.000 0.000 10.406
La Sr Os
2 1 1
Cartesian
0.000 0.000 8.715
0.000 0.000 1.691
1.767 1.767 5.203
1.767 1.767 0.000
```

Values from the calculation:
The calculation puts the density of states at the Fermi level at 3.7 states/eV per cell. The space-group type is P4/mmm. For the magnetic moment, the calculation gives 0.0 μB/cell. The formation enthalpy at 0 K is 0.0625 eV/atom. For the raw total energy, the calculation gives -24.50 eV for the cell shown. The calculation puts the relative energy among the computed polymorphs at 58 meV/atom.


DFT (PBEsol) results for an optimized crystal structure of TeP2Pb.

```
TeP2Pb
1.0
-1.711 1.996 2.309
-2.238 -3.984 1.785
3.649 -0.605 3.225
P Te Pb
2 1 1
Cartesian
0.705 -2.294 2.505
0.000 0.000 0.000
0.969 0.696 2.767
-1.974 -0.994 2.047
```

Values from the calculation:
The calculation puts the density of states at the Fermi level at 2.5 states/eV per cell. The space-group type is P4/mmm. For the magnetic moment, the calculation gives 0.0 μB/cell. For the raw total energy, the calculation gives -17.26 eV for the cell shown. The calculation puts the relative energy among the computed polymorphs at 319 meV/atom.


DFT (PBEsol) results for an optimized crystal structure of CoTe3As.

```
CoTe3As
1.0
5.285 0.000 0.000
0.000 5.285 0.000
0.000 0.000 5.285
Co Te As
1 3 1
Cartesian
2.643 2.643 2.643
0.000 2.643 0.000
2.643 0.000 0.000
0.000 0.000 2.643
0.000 0.000 0.000
```

Values from the calculation:
The calculation puts the density of states at the Fermi level at 6.9 states/eV per cell. The space-group type is Pm-3m. For the magnetic moment, the calculation gives 2.7 μB/cell. For the raw total energy, the calculation gives -17.73 eV for the cell shown.


Question: Look up the magnetic moment of the first one.
Answer: 3.6 μB/cell


Question: magnetic moment of number 1 (CrSn3C)?
Answer: 3.6 μB/cell